Density functional theory data (PBE) for an optimized crystal structure of ReMoI2.

Summary:
Formation energy from raw total energies   1429 meV/atom

Lattice parameters (Å, degrees): 6.7367 6.7367 6.7367 90.00 90.00 90.00
Space group Fm-3m (No. 225)
Symmetry-distinct sites (fractional):
Re1 0.0000 0.0000 0.0000
Mo1 0.0000 0.0000 0.5000
I1 0.2500 0.2500 0.2500


Density functional theory data (PBE) for an optimized crystal structure of Th2MgC2.

Summary:
DFT total energy   -7.20 eV per atom

Lattice parameters (Å, degrees): 3.7915 3.7915 13.9731 90.00 90.00 90.00
Space group I4/mmm (No. 139)
Symmetry-distinct sites (fractional):
Th1 0.0000 0.0000 0.1590
Mg1 0.0000 0.0000 0.5000
C1 0.0000 0.0000 0.3340


Density functional theory data (PBE) for an optimized crystal structure of Na2SrMg.

Summary:
DFT total energy   -1.23 eV per atom

Lattice parameters (Å, degrees): 3.7898 3.7898 39.8071 90.00 90.00 120.00
Space group R-3m (No. 166, hexagonal axes)
Symmetry-distinct sites (fractional):
Na1 0.0000 0.0000 0.0830
Sr1 0.0000 0.0000 0.5000
Mg1 0.0000 0.0000 0.0000


Density functional theory data (PBE) for an optimized crystal structure of LiDyThPd.

Summary:
DFT total energy   -5.03 eV per atom

Lattice parameters (Å, degrees): 7.2174 7.2174 7.2174 90.00 90.00 90.00
Space group F-43m (No. 216)
Symmetry-distinct sites (fractional):
Li1 0.0000 0.0000 0.0000
Dy1 0.2500 0.2500 0.2500
Th1 0.2500 0.2500 0.7500
Pd1 0.0000 0.0000 0.5000


Density functional theory data (PBE) for an optimized crystal structure of CePa2PN6.

Summary:
Formation energy from raw total energies   -921 meV/atom

Lattice parameters (Å, degrees): 5.2119 5.2119 5.1300 90.00 90.00 90.00
Space group P4mm (No. 99)
Symmetry-distinct sites (fractional):
Ce1 0.0000 0.0000 0.0000
Pa1 0.0000 0.5000 0.4648
P1 0.5000 0.5000 0.0697
N1 0.0000 0.0000 0.5611
N2 0.2761 0.2761 0.1972
N3 0.5000 0.5000 0.7394


Density functional theory data (PBE) for an optimized crystal structure of ZnCu2Ni.

Summary:
DFT total energy   -3.86 eV per atom

Lattice parameters (Å, degrees): 2.5969 2.5969 24.8986 90.00 90.00 120.00
Space group R3m (No. 160, hexagonal axes)
Symmetry-distinct sites (fractional):
Zn1 0.0000 0.0000 0.0000
Cu1 0.0000 0.0000 0.2476
Cu2 0.0000 0.0000 0.4972
Ni1 0.0000 0.0000 0.7494


Density functional theory data (PBE) for an optimized crystal structure of PrSnPt.

Summary:
DFT total energy   -5.66 eV per atom

Lattice parameters (Å, degrees): 3.5354 3.5354 11.4312 90.00 90.00 90.00
Space group I4mm (No. 107)
Symmetry-distinct sites (fractional):
Pr1 0.0000 0.0000 0.0000
Sn1 0.0000 0.0000 0.7090
Pt1 0.0000 0.0000 0.3326


Density functional theory data (PBE) for an optimized crystal structure of Pm3Nd6Y2.

Summary:
DFT total energy   -5.06 eV per atom

Lattice parameters (Å, degrees): 3.6545 3.6545 98.3493 90.00 90.00 120.00
Space group R-3m (No. 166, hexagonal axes)
Symmetry-distinct sites (fractional):
Pm1 0.0000 0.0000 0.0000
Pm2 0.0000 0.0000 0.2724
Nd1 0.0000 0.0000 0.0915
Nd2 0.0000 0.0000 0.1821
Nd3 0.0000 0.0000 0.3638
Y1 0.0000 0.0000 0.4547


Density functional theory data (PBE) for an optimized crystal structure of Ac4Ag3Au2.

Summary:
DFT total energy   -3.93 eV per atom

Lattice parameters (Å, degrees): 5.2981 5.2981 10.8420 90.00 90.00 120.00
Space group P-3m1 (No. 164)
Symmetry-distinct sites (fractional):
Ac1 0.0000 0.0000 0.1626
Ac2 0.3333 0.6667 0.6130
Ag1 0.0000 0.0000 0.5000
Ag2 0.3333 0.6667 0.0053
Au1 0.3333 0.6667 0.2965


Density functional theory data (PBE) for an optimized crystal structure of PmMgCu2Sn2.

Summary:
DFT total energy   -4.15 eV per atom

Lattice parameters (Å, degrees): 4.5070 4.5070 7.1268 90.00 90.00 120.00
Space group P-3m1 (No. 164)
Symmetry-distinct sites (fractional):
Pm1 0.0000 0.0000 0.0000
Mg1 0.0000 0.0000 0.5000
Cu1 0.3333 0.6667 0.6890
Sn1 0.3333 0.6667 0.2627


Density functional theory data (PBE) for an optimized crystal structure of RbGaSn2Mo.

Summary:
DFT total energy   -4.56 eV per atom

Lattice parameters (Å, degrees): 5.3023 5.3023 5.1464 90.00 90.00 90.00
Space group P4/mmm (No. 123)
Symmetry-distinct sites (fractional):
Rb1 0.0000 0.0000 0.0000
Ga1 0.5000 0.5000 0.0000
Sn1 0.0000 0.5000 0.5000
Mo1 0.5000 0.5000 0.5000


Density functional theory data (PBE) for an optimized crystal structure of Cs3ZnOs.

Summary:
DFT total energy   -1.85 eV per atom

Lattice parameters (Å, degrees): 6.2474 6.2474 6.2474 90.00 90.00 90.00
Space group Pm-3m (No. 221)
Symmetry-distinct sites (fractional):
Cs1 0.0000 0.0000 0.5000
Zn1 0.5000 0.5000 0.5000
Os1 0.0000 0.0000 0.0000


Density functional theory data (PBE) for an optimized crystal structure of TbPmSnHg.

Summary:
DFT total energy   -4.00 eV per atom

Lattice parameters (Å, degrees): 3.8292 3.8292 7.4550 90.00 90.00 90.00
Space group P4mm (No. 99)
Symmetry-distinct sites (fractional):
Tb1 0.0000 0.0000 0.0000
Pm1 0.0000 0.0000 0.4928
Sn1 0.5000 0.5000 0.7533
Hg1 0.5000 0.5000 0.2351


Density functional theory data (PBE) for an optimized crystal structure of EuYGa.

Summary:
DFT total energy   -6.81 eV per atom

Lattice parameters (Å, degrees): 5.0865 5.0865 3.8082 90.00 90.00 120.00
Space group P3m1 (No. 156)
Symmetry-distinct sites (fractional):
Eu1 0.0000 0.0000 0.0000
Y1 0.6667 0.3333 0.4519
Ga1 0.3333 0.6667 0.6384


Density functional theory data (PBE) for an optimized crystal structure of LiPdN.

Summary:
Formation energy from raw total energies   -106 meV/atom

Lattice parameters (Å, degrees): 2.7939 4.1199 12.2987 90.00 90.00 90.00
Space group Imm2 (No. 44)
Symmetry-distinct sites (fractional):
Li1 0.0000 0.0000 0.0000
Li2 0.0000 0.5000 0.1077
Pd1 0.0000 0.0000 0.4036
Pd2 0.0000 0.0000 0.7908
N1 0.0000 0.3538 0.6527


Density functional theory data (PBE) for an optimized crystal structure of Er3CdHg3.

Summary:
DFT total energy   -2.58 eV per atom

Lattice parameters (Å, degrees): 3.5703 4.8339 20.4093 90.00 90.00 90.00
Space group Imm2 (No. 44)
Symmetry-distinct sites (fractional):
Er1 0.0000 0.0000 0.0000
Er2 0.0000 0.0000 0.3955
Er3 0.0000 0.5000 0.1926
Cd1 0.0000 0.5000 0.7661
Hg1 0.0000 0.0000 0.5453
Hg2 0.0000 0.0000 0.8466
Hg3 0.0000 0.5000 0.6297


Density functional theory data (PBE) for an optimized crystal structure of Ba2Na2Cd.

Summary:
DFT total energy   -1.54 eV per atom

Lattice parameters (Å, degrees): 4.4458 4.4458 22.0713 90.00 90.00 90.00
Space group I4/mmm (No. 139)
Symmetry-distinct sites (fractional):
Ba1 0.0000 0.0000 0.0901
Na1 0.0000 0.5000 0.2500
Cd1 0.0000 0.0000 0.5000


Density functional theory data (PBE) for an optimized crystal structure of YAsPO2.

Summary:
Formation energy from raw total energies   -1067 meV/atom

Lattice parameters (Å, degrees): 4.0054 4.0054 4.7243 90.00 90.00 90.00
Space group P4/mmm (No. 123)
Symmetry-distinct sites (fractional):
Y1 0.0000 0.0000 0.0000
As1 0.5000 0.5000 0.5000
P1 0.5000 0.5000 0.0000
O1 0.0000 0.5000 0.5000


Density functional theory data (PBE) for an optimized crystal structure of SiTeRh2.

Summary:
Formation energy from raw total energies   -257 meV/atom

Lattice parameters (Å, degrees): 3.3088 4.6140 4.4994 90.00 90.00 90.00
Space group Pmm2 (No. 25)
Symmetry-distinct sites (fractional):
Si1 0.0000 0.0000 0.0000
Te1 0.5000 0.5000 0.6645
Rh1 0.0000 0.5000 0.1677
Rh2 0.5000 0.0000 0.3827


Density functional theory data (PBE) for an optimized crystal structure of Sc3GaPt12.

Summary:
DFT total energy   -6.82 eV per atom

Lattice parameters (Å, degrees): 4.0018 4.0018 15.8972 90.00 90.00 90.00
Space group P4/mmm (No. 123)
Symmetry-distinct sites (fractional):
Sc1 0.0000 0.0000 0.0000
Sc2 0.0000 0.0000 0.2520
Ga1 0.0000 0.0000 0.5000
Pt1 0.0000 0.5000 0.1260
Pt2 0.0000 0.5000 0.3780
Pt3 0.5000 0.5000 0.0000
Pt4 0.5000 0.5000 0.2525
Pt5 0.5000 0.5000 0.5000


| no. | total magnetic moment (μB/cell) |
| --- | --- |
| 1 | 0.0 |
| 2 | 0.0 |
| 3 | 0.0 |
| 4 | 0.0 |
| 5 | 0.7 |
| 6 | 0.0 |
| 7 | 0.0 |
| 8 | 0.0 |
| 9 | 0.0 |
| 10 | 0.0 |
| 11 | 0.0 |
| 12 | 0.2 |
| 13 | 0.0 |
| 14 | 7.1 |
| 15 | 0.0 |
| 16 | 0.0 |
| 17 | 0.0 |
| 18 | 0.0 |
| 19 | 0.0 |
| 20 | 0.0 |